TbCeErTm2 | PBE-GGA | optimized geometry

Calculated values
Fermi-level density of states: 19.602 states/eV per cell
DFT formation energy: 0.3082 eV/atom
Magnetization: 1.4 μB/f.u.

Cell lengths 5.7293, 7.5202, 7.3204 Å; angles 90.00, 90.00, 90.00 degrees
With the nearest neighbours (Å) after each atom.
Fractional coordinates of all 10 atoms:
Tb: 0.2500 0.0000 0.1572  6 Tm 3.50-3.88, 2 Tb 3.67
Tb: 0.7500 0.0000 0.8428  6 Tm 3.50-3.88, 2 Tb 3.67
Ce: 0.0000 0.5000 0.0000  2 Ce 2.86, 2 Er 3.13
Ce: 0.5000 0.5000 0.0000  2 Ce 2.86, 2 Er 3.13
Er: 0.2500 0.5000 0.3804  2 Tm 3.06, 2 Ce 3.13, 2 Er 3.36
Er: 0.7500 0.5000 0.6196  2 Tm 3.06, 2 Ce 3.13, 2 Er 3.36
Tm: 0.2500 0.2100 0.6734  1 Er 3.06, 1 Tm 3.16
Tm: 0.2500 0.7900 0.6734  1 Er 3.06, 1 Tm 3.16
Tm: 0.7500 0.2100 0.3266  1 Er 3.06, 1 Tm 3.16
Tm: 0.7500 0.7900 0.3266  1 Er 3.06, 1 Tm 3.16

Tb6Ce2ErTm3 | PBE-GGA | optimized geometry

Calculated values
Fermi-level density of states: 22.323 states/eV per cell
DFT formation energy: 0.0494 eV/atom
Magnetization: 1.9 μB/f.u.

Cell lengths 6.1125, 6.1125, 11.7018 Å; angles 95.00, 95.00, 120.00 degrees
With the nearest neighbours (Å) after each atom.
Fractional coordinates of all 12 atoms:
Tb: 0.0810 0.4159 0.2497  6 Tb 3.52-3.55, 3 Tm 3.52-3.53, 2 Ce 3.53, 1 Er 3.54
Tb: 0.2492 0.2492 0.7505  6 Tb 3.52-3.55, 3 Tm 3.52, 2 Ce 3.53, 1 Er 3.54
Tb: 0.4159 0.0810 0.2497  6 Tb 3.52-3.55, 3 Tm 3.52-3.53, 2 Ce 3.53, 1 Er 3.54
Tb: 0.5841 0.9190 0.7503  6 Tb 3.52-3.55, 3 Tm 3.52-3.53, 2 Ce 3.53, 1 Er 3.54
Tb: 0.7508 0.7508 0.2495  6 Tb 3.52-3.55, 3 Tm 3.52, 2 Ce 3.53, 1 Er 3.54
Tb: 0.9190 0.5841 0.7503  6 Tb 3.52-3.55, 3 Tm 3.52-3.53, 2 Ce 3.53, 1 Er 3.54
Ce: 0.1665 0.8335 0.5000  3 Ce 3.53, 6 Tb 3.53, 3 Er 3.53
Ce: 0.8335 0.1665 0.5000  3 Ce 3.53, 6 Tb 3.53, 3 Er 3.53
Er: 0.5000 0.5000 0.5000  6 Ce 3.53, 6 Tb 3.54
Tm: 0.0000 0.0000 0.0000  6 Tb 3.52-3.53, 6 Tm 3.53
Tm: 0.3338 0.6662 0.0000  6 Tm 3.52-3.53, 6 Tb 3.52-3.53
Tm: 0.6662 0.3338 0.0000  6 Tm 3.52-3.53, 6 Tb 3.52-3.53